# 1
RbInAuO | PBE | optimized geometry

abc: 7.242 7.242 7.195
angles: 90.00 90.00 141.28
Sites, in units of the cell vectors:
1 Rb 0.149 0.851 0.000
2 Rb 0.851 0.149 0.000
3 In 0.393 0.607 0.581
4 In 0.607 0.393 0.581
5 Au 0.193 0.807 0.461
6 Au 0.807 0.193 0.461
7 O 0.360 0.640 0.850
8 O 0.640 0.360 0.850

Symmetry: No. 35
Energy, eV for the cell shown: -28.69
ρ, g/cm³: 5.82

***

# 2
InReAu3O4 | PBE | optimized geometry

abc: 5.760 5.760 5.760
angles: 90.00 90.00 90.00
Sites, in units of the cell vectors:
1 In 0.000 0.000 0.000
2 Re 0.500 0.500 0.500
3 Au 0.000 0.500 0.500
4 Au 0.500 0.000 0.500
5 Au 0.500 0.500 0.000
6 O 0.309 0.309 0.309
7 O 0.309 0.691 0.691
8 O 0.691 0.309 0.691
9 O 0.691 0.691 0.309

Symmetry: No. 215
Energy, eV for the cell shown: -43.97
ρ, g/cm³: 8.30

***

# 3
InAuSO | PBE | optimized geometry

abc: 7.267 6.815 6.540
angles: 90.00 106.75 90.00
Sites, in units of the cell vectors:
1 In 0.071 0.144 0.208
2 In 0.071 0.356 0.708
3 In 0.929 0.644 0.292
4 In 0.929 0.856 0.792
5 Au 0.482 0.664 0.290
6 Au 0.482 0.836 0.790
7 Au 0.518 0.164 0.210
8 Au 0.518 0.336 0.710
9 S 0.287 0.089 0.611
10 S 0.287 0.411 0.111
11 S 0.713 0.589 0.889
12 S 0.713 0.911 0.389
13 O 0.067 0.658 0.636
14 O 0.067 0.842 0.136
15 O 0.933 0.158 0.864
16 O 0.933 0.342 0.364

Symmetry: No. 14
Energy, eV for the cell shown: -70.56
ρ, g/cm³: 7.71
Relative energy among the computed polymorphs, meV/atom: 60

***

Repeat the third record exactly.
InAuSO | PBE | optimized geometry

abc: 7.267 6.815 6.540
angles: 90.00 106.75 90.00
Sites, in units of the cell vectors:
1 In 0.071 0.144 0.208
2 In 0.071 0.356 0.708
3 In 0.929 0.644 0.292
4 In 0.929 0.856 0.792
5 Au 0.482 0.664 0.290
6 Au 0.482 0.836 0.790
7 Au 0.518 0.164 0.210
8 Au 0.518 0.336 0.710
9 S 0.287 0.089 0.611
10 S 0.287 0.411 0.111
11 S 0.713 0.589 0.889
12 S 0.713 0.911 0.389
13 O 0.067 0.658 0.636
14 O 0.067 0.842 0.136
15 O 0.933 0.158 0.864
16 O 0.933 0.342 0.364

Symmetry: No. 14
Energy, eV for the cell shown: -70.56
ρ, g/cm³: 7.71
Relative energy among the computed polymorphs, meV/atom: 60